No. 1
# CdPd10, relaxed, DFT GGA-PBE
# uncorrected energy = -52.5 eV/f.u.
# energy of formation = 14 meV/atom
data_CdPd10
_chemical_formula_sum 'Cd4 Pd40'
_cell_length_a 8.809
_cell_length_b 3.911
_cell_length_c 32.776
_cell_angle_alpha 90.00
_cell_angle_beta 90.28
_cell_angle_gamma 90.00
_space_group_name_H-M_alt 'C 1 2/m 1'
_space_group_IT_number 12
_space_group_name_Hall '-C 2y'
loop_
_atom_site_label
_atom_site_type_symbol
_atom_site_fract_x
_atom_site_fract_y
_atom_site_fract_z
Cd1 Cd 0.153 0.000 0.212
Pd1 Pd 0.049 0.500 0.267
Pd2 Pd 0.050 0.000 0.405
Pd3 Pd 0.050 0.000 0.677
Pd4 Pd 0.050 0.500 0.541
Pd5 Pd 0.148 0.000 0.759
Pd6 Pd 0.148 0.500 0.350
Pd7 Pd 0.150 0.000 0.486
Pd8 Pd 0.151 0.500 0.622
Pd9 Pd 0.249 0.500 0.704
Pd10 Pd 0.250 0.000 0.568


No. 2
# Cu7Ag3, relaxed, DFT GGA-PBE
# uncorrected energy = -33.8 eV/f.u.
# energy of formation = 73 meV/atom
data_Cu7Ag3
_chemical_formula_sum 'Cu7 Ag3'
_cell_length_a 2.725
_cell_length_b 3.639
_cell_length_c 13.827
_cell_angle_alpha 90.00
_cell_angle_beta 90.00
_cell_angle_gamma 90.00
_space_group_name_H-M_alt 'P m m 2'
_space_group_IT_number 25
_space_group_name_Hall 'P 2 -2'
loop_
_atom_site_label
_atom_site_type_symbol
_atom_site_fract_x
_atom_site_fract_y
_atom_site_fract_z
Cu1 Cu 0.000 0.000 0.000
Cu2 Cu 0.000 0.000 0.180
Cu3 Cu 0.000 0.000 0.393
Cu4 Cu 0.000 0.000 0.573
Cu5 Cu 0.500 0.500 0.090
Cu6 Cu 0.500 0.500 0.482
Cu7 Cu 0.500 0.500 0.662
Ag1 Ag 0.000 0.000 0.769
Ag2 Ag 0.500 0.500 0.286
Ag3 Ag 0.500 0.500 0.893


No. 3
# RbReAs2O8, relaxed, DFT GGA-PBE
# uncorrected energy = -78.1 eV/f.u.
data_RbReAs2O8
_chemical_formula_sum 'Rb1 Re1 As2 O8'
_cell_length_a 4.9261
_cell_length_b 4.9261
_cell_length_c 8.6485
_cell_angle_alpha 90.00
_cell_angle_beta 90.00
_cell_angle_gamma 120.00
_space_group_name_H-M_alt 'P -3'
_space_group_IT_number 147
_space_group_name_Hall '-P 3'
loop_
_atom_site_label
_atom_site_type_symbol
_atom_site_fract_x
_atom_site_fract_y
_atom_site_fract_z
Rb1 Rb 0.0000 0.0000 0.0000
Re1 Re 0.0000 0.0000 0.5000
As1 As 0.3333 0.6667 0.7088
O1 O 0.0124 0.3250 0.6355
O2 O 0.3333 0.6667 0.9003


No. 4
# GdTlGeS3, relaxed, DFT GGA-PBE
# uncorrected energy = -29.7 eV/f.u.
data_GdTlGeS3
_chemical_formula_sum 'Gd4 Tl4 Ge4 S12'
_cell_length_a 3.982
_cell_length_b 14.979
_cell_length_c 10.970
_cell_angle_alpha 90.00
_cell_angle_beta 90.00
_cell_angle_gamma 90.00
_space_group_name_H-M_alt 'C m c m'
_space_group_IT_number 63
_space_group_name_Hall '-C 2c 2'
loop_
_atom_site_label
_atom_site_type_symbol
_atom_site_fract_x
_atom_site_fract_y
_atom_site_fract_z
Gd1 Gd 0.000 0.000 0.000
Tl1 Tl 0.000 0.299 0.250
Ge1 Ge 0.000 0.381 0.750
S1 S 0.000 0.015 0.250
S2 S 0.000 0.374 0.508


No. 5
# Pr4Si3Ag, relaxed, DFT GGA-PBE
# uncorrected energy = -42.8 eV/f.u.
data_Pr4Si3Ag
_chemical_formula_sum 'Pr4 Si3 Ag1'
_cell_length_a 6.051
_cell_length_b 4.122
_cell_length_c 8.198
_cell_angle_alpha 90.00
_cell_angle_beta 90.55
_cell_angle_gamma 90.00
_space_group_name_H-M_alt 'P 1 m 1'
_space_group_IT_number 6
_space_group_name_Hall 'P -2y'
loop_
_atom_site_label
_atom_site_type_symbol
_atom_site_fract_x
_atom_site_fract_y
_atom_site_fract_z
Pr1 Pr 0.000 0.000 0.000
Pr2 Pr 0.236 0.500 0.643
Pr3 Pr 0.497 0.500 0.147
Pr4 Pr 0.736 0.000 0.501
Si1 Si 0.230 0.000 0.356
Si2 Si 0.476 0.000 0.864
Si3 Si 0.997 0.500 0.286
Ag1 Ag 0.733 0.500 0.791


No. 6
# SrLu2Zr, relaxed, DFT GGA-PBE
# uncorrected energy = -17.5 eV/f.u.
data_SrLu2Zr
_chemical_formula_sum 'Sr4 Lu8 Zr4'
_cell_length_a 7.910
_cell_length_b 7.910
_cell_length_c 7.910
_cell_angle_alpha 90.00
_cell_angle_beta 90.00
_cell_angle_gamma 90.00
_space_group_name_H-M_alt 'F -4 3 m'
_space_group_IT_number 216
_space_group_name_Hall 'F -4 2 3'
loop_
_atom_site_label
_atom_site_type_symbol
_atom_site_fract_x
_atom_site_fract_y
_atom_site_fract_z
Sr1 Sr 0.000 0.000 0.000
Lu1 Lu 0.000 0.000 0.500
Lu2 Lu 0.250 0.250 0.750
Zr1 Zr 0.250 0.250 0.250